[1]
HfInCuTe2 after structural relaxation. Source: Alexandria, functional PBE.

a = 5.2015 Å, b = 5.2015 Å, c = 4.8327 Å
α = 90.00°, β = 90.00°, γ = 90.00°
Closest atoms and distances in Å follow each position.
Fractional coordinates of all 5 atoms:
Hf: 0.0000 0.0000 0.0000  8 Te 3.55, 4 In 3.68
In: 0.5000 0.5000 0.0000  2 Cu 2.42
Cu: 0.5000 0.5000 0.5000  2 In 2.42, 4 Te 2.60
Te: 0.0000 0.5000 0.5000  2 Cu 2.60
Te: 0.5000 0.0000 0.5000  2 Cu 2.60

## Properties
E: -4.142 eV/atom
Formation energy (no corrections): 10.89 kcal/mol of atoms
D(E_F): 4.5 states/eV/cell
Space group: P4/mmm, No. 123

***

[2]
HfTlInCu2 after structural relaxation. Source: Alexandria, functional PBE.

a = 4.6999 Å, b = 4.6999 Å, c = 5.4810 Å
α = 90.00°, β = 90.00°, γ = 90.00°
Closest atoms and distances in Å follow each position.
Fractional coordinates of all 5 atoms:
Hf: 0.0000 0.0000 0.0000  4 Tl 3.32, 8 Cu 3.61
Tl: 0.5000 0.5000 0.0000  2 In 2.74
In: 0.5000 0.5000 0.5000  4 Cu 2.35
Cu: 0.0000 0.5000 0.5000  2 In 2.35
Cu: 0.5000 0.0000 0.5000  2 In 2.35

## Properties
E: -3.645 eV/atom
D(E_F): 3.5 states/eV/cell
Space group: P4/mmm, No. 123

***

[3]
HfCu2Ir after structural relaxation. Source: Alexandria, functional PBE.

a = 4.3628 Å, b = 4.3628 Å, c = 4.3628 Å
α = 60.00°, β = 60.00°, γ = 60.00°
Closest atoms and distances in Å follow each position.
Fractional coordinates of all 4 atoms:
Hf: 0.0000 0.0000 0.0000  8 Cu 2.67
Cu: 0.2500 0.2500 0.2500  4 Hf 2.67, 4 Ir 2.67
Cu: 0.7500 0.7500 0.7500  4 Hf 2.67, 4 Ir 2.67
Ir: 0.5000 0.5000 0.5000  8 Cu 2.67

## Properties
Offset from the most stable computed form: 0 meV/atom
E: -6.982 eV/atom
D(E_F): 5.8 states/eV/cell
Space group: Fm-3m, No. 225

***

[4]
HfCuIr3 after structural relaxation. Source: Alexandria, functional PBE.

a = 4.4492 Å, b = 4.4492 Å, c = 4.4492 Å
α = 90.00°, β = 90.00°, γ = 90.00°
Closest atoms and distances in Å follow each position.
Fractional coordinates of all 5 atoms:
Hf: 0.0000 0.0000 0.0000  12 Ir 3.15
Cu: 0.5000 0.5000 0.5000  6 Ir 2.22
Ir: 0.0000 0.5000 0.5000  2 Cu 2.22
Ir: 0.5000 0.0000 0.5000  2 Cu 2.22
Ir: 0.5000 0.5000 0.0000  2 Cu 2.22

## Properties
Offset from the most stable computed form: 0 meV/atom
E: -7.361 eV/atom
D(E_F): 5.4 states/eV/cell
Space group: Pm-3m, No. 221

***

[5]
HfCuIr2 after structural relaxation. Source: Alexandria, functional PBE.

a = 9.2054 Å, b = 9.2054 Å, c = 9.2054 Å
α = 155.24°, β = 155.24°, γ = 35.30°
Closest atoms and distances in Å follow each position.
Fractional coordinates of all 8 atoms:
Hf: 0.0000 0.0000 0.0000  4 Ir 2.68, 4 Cu 2.79
Hf: 0.7500 0.2500 0.5000  4 Ir 2.68, 4 Cu 2.79
Cu: 0.2500 0.7500 0.5000  4 Ir 2.54, 4 Hf 2.79
Cu: 0.5000 0.5000 0.0000  4 Ir 2.54, 4 Hf 2.79
Ir: 0.1719 0.6250 0.0469  2 Cu 2.54, 2 Ir 2.54, 2 Hf 2.68
Ir: 0.3750 0.4219 0.5469  2 Cu 2.54, 2 Ir 2.54, 2 Hf 2.68
Ir: 0.5781 0.1250 0.9531  2 Cu 2.54, 2 Ir 2.54, 2 Hf 2.68
Ir: 0.8750 0.8281 0.4531  2 Cu 2.54, 2 Ir 2.54, 2 Hf 2.68

## Properties
E: -7.981 eV/atom
D(E_F): 6.1 states/eV/cell
Space group: I-42d, No. 122

***

[6]
Hf3Cu2Ir after structural relaxation. Source: Alexandria, functional PBE.

a = 4.5899 Å, b = 4.5899 Å, c = 5.6779 Å
α = 90.00°, β = 90.00°, γ = 120.00°
Closest atoms and distances in Å follow each position.
Fractional coordinates of all 6 atoms:
Hf: 0.0000 0.0000 0.0000  6 Cu 2.78, 2 Ir 2.84
Hf: 0.3333 0.6667 0.6640  5 Cu 2.73-2.95, 3 Ir 2.81
Hf: 0.6667 0.3333 0.3360  5 Cu 2.73-2.95, 3 Ir 2.81
Cu: 0.3333 0.6667 0.1451  8 Hf 2.73-2.95
Cu: 0.6667 0.3333 0.8549  8 Hf 2.73-2.95
Ir: 0.0000 0.0000 0.5000  8 Hf 2.81-2.84

## Properties
E: -8.274 eV/atom
D(E_F): 4.8 states/eV/cell
Space group: P-3m1, No. 164

***

[7]
Hf4Cu2Ir after structural relaxation. Source: Alexandria, functional PBE.

a = 7.7977 Å, b = 7.7977 Å, c = 7.7977 Å
α = 33.80°, β = 33.80°, γ = 33.80°
Closest atoms and distances in Å follow each position.
Fractional coordinates of all 7 atoms:
Hf: 0.1201 0.1201 0.1201  4 Cu 2.73-2.84, 3 Ir 2.81
Hf: 0.3711 0.3711 0.3711  4 Cu 2.69-2.81, 1 Ir 2.84
Hf: 0.6289 0.6289 0.6289  4 Cu 2.69-2.81, 1 Ir 2.84
Hf: 0.8799 0.8799 0.8799  4 Cu 2.73-2.84, 3 Ir 2.81
Cu: 0.2490 0.2490 0.2490  8 Hf 2.69-2.84
Cu: 0.7510 0.7510 0.7510  8 Hf 2.69-2.84
Ir: 0.5000 0.5000 0.5000  8 Hf 2.81-2.84

## Properties
Offset from the most stable computed form: 0 meV/atom
E: -8.369 eV/atom
D(E_F): 7.3 states/eV/cell
Space group: R-3m, No. 166

***

[8]
Hf4Cu2Ir after structural relaxation. Source: Alexandria, functional PBE.

a = 7.2911 Å, b = 7.2911 Å, c = 7.2911 Å
α = 140.05°, β = 140.05°, γ = 57.78°
Closest atoms and distances in Å follow each position.
Fractional coordinates of all 7 atoms:
Hf: 0.0000 0.5000 0.5000  2 Ir 2.49, 4 Cu 2.79
Hf: 0.2002 0.2002 0.0000  1 Ir 2.56, 1 Cu 2.57
Hf: 0.5000 0.0000 0.5000  2 Ir 2.49, 4 Cu 2.79
Hf: 0.7998 0.7998 0.0000  1 Ir 2.56, 1 Cu 2.57
Cu: 0.4016 0.4016 0.0000  1 Cu 2.51, 5 Hf 2.57-2.79
Cu: 0.5984 0.5984 0.0000  1 Cu 2.51, 5 Hf 2.57-2.79
Ir: 0.0000 0.0000 0.0000  6 Hf 2.49-2.56

## Properties
Offset from the most stable computed form: 559 meV/atom
E: -7.811 eV/atom
D(E_F): 5.3 states/eV/cell
Space group: I4/mmm, No. 139

***

Number 1: total magnetic moment 0.000 μB/cell. Number 2: total magnetic moment 0.000 μB/cell. Number 3: total magnetic moment 0.000 μB/cell. Number 4: total magnetic moment 0.000 μB/cell. Number 5: total magnetic moment 0.000 μB/cell. Number 6: total magnetic moment 0.000 μB/cell. Number 7: total magnetic moment 0.000 μB/cell. Number 8: total magnetic moment 0.000 μB/cell.